No. 1
# KHfSb2Pt

A relaxed KHfSb2Pt crystal (PBE-GGA, Alexandria via LeMat-Bulk).

Computed properties:
Formation energy without anion corrections in eV per atom: 0.618
Symmetry: P4/mmm

```
KHfSb2Pt
1.0
5.258 0.000 0.000
0.000 5.258 0.000
0.000 0.000 5.323
K Hf Sb Pt
1 1 2 1
Direct
0.000 0.000 0.000
0.500 0.500 0.000
0.000 0.500 0.500
0.500 0.000 0.500
0.000 0.000 0.500
```

No. 2
# KHf2PtSe

A relaxed KHf2PtSe crystal (PBE-GGA, Alexandria via LeMat-Bulk).

Computed properties:
Formation energy without anion corrections in eV per atom: 0.481
Symmetry: P4/mmm

```
KHf2PtSe
1.0
4.937 0.000 0.000
0.000 4.937 0.000
0.000 0.000 5.414
K Hf Pt Se
1 2 1 1
Direct
0.000 0.000 0.000
0.000 0.500 0.500
0.500 0.000 0.500
0.500 0.500 0.000
0.000 0.000 0.500
```

No. 3
# KHfSn2Pt

A relaxed KHfSn2Pt crystal (PBE-GGA, Alexandria via LeMat-Bulk).

Computed properties:
Symmetry: P4/mmm
ΔH_f (0 K) in eV per atom: 0.59

```
KHfSn2Pt
1.0
5.187 0.000 0.000
0.000 5.187 0.000
0.000 0.000 5.461
K Hf Sn Pt
1 1 2 1
Direct
0.000 0.000 0.000
0.500 0.500 0.000
0.000 0.500 0.500
0.500 0.000 0.500
0.000 0.000 0.500
```

No. 4
# KHfSn2Pt

A relaxed KHfSn2Pt crystal (PBE-GGA, Alexandria via LeMat-Bulk).

Computed properties:
Symmetry: P4/mmm
ΔH_f (0 K) in eV per atom: 1.12

```
KHfSn2Pt
1.0
5.460 0.000 0.000
0.000 5.460 0.000
0.000 0.000 5.906
K Hf Sn Pt
1 1 2 1
Direct
0.000 0.000 0.000
0.000 0.000 0.500
0.000 0.500 0.500
0.500 0.000 0.500
0.500 0.500 0.000
```

No. 5
# KHf2TcPt

A relaxed KHf2TcPt crystal (PBE-GGA, Alexandria via LeMat-Bulk).

Computed properties:
Symmetry: P4/mmm
ΔH_f (0 K) in eV per atom: 1.00

```
KHf2TcPt
1.0
4.899 0.000 0.000
0.000 4.899 0.000
0.000 0.000 5.263
K Hf Tc Pt
1 2 1 1
Direct
0.000 0.000 0.000
0.000 0.500 0.500
0.500 0.000 0.500
0.000 0.000 0.500
0.500 0.500 0.000
```

No. 6
# KHfTcPt2

A relaxed KHfTcPt2 crystal (PBE-GGA, Alexandria via LeMat-Bulk).

Computed properties:
Symmetry: P4/mmm
ΔH_f (0 K) in eV per atom: 1.30

```
KHfTcPt2
1.0
4.898 0.000 0.000
0.000 4.898 0.000
0.000 0.000 4.737
K Hf Tc Pt
1 1 1 2
Direct
0.000 0.000 0.000
0.500 0.500 0.000
0.000 0.000 0.500
0.000 0.500 0.500
0.500 0.000 0.500
```

No. 7
# K4Pu3HfS8

A relaxed K4Pu3HfS8 crystal (PBE-GGA, Alexandria via LeMat-Bulk).

Computed properties:
Formation energy without anion corrections in eV per atom: -1.572
Symmetry: R-3m

```
K4Pu3HfS8
1.0
4.034 2.329 7.341
-4.034 2.329 7.341
0.000 -4.658 7.341
K Pu Hf S
4 3 1 8
Direct
0.000 0.000 0.000
0.000 0.500 0.500
0.500 0.000 0.500
0.500 0.500 0.000
0.000 0.000 0.500
0.000 0.500 0.000
0.500 0.000 0.000
0.500 0.500 0.500
0.234 0.234 0.234
0.254 0.722 0.722
0.278 0.278 0.746
0.278 0.746 0.278
0.722 0.254 0.722
0.722 0.722 0.254
0.746 0.278 0.278
0.766 0.766 0.766
```

No. 8
# K2PuHfS4

A relaxed K2PuHfS4 crystal (PBE-GGA, Alexandria via LeMat-Bulk).

Computed properties:
Formation energy without anion corrections in eV per atom: -1.530
Symmetry: P2/m

```
K2PuHfS4
1.0
6.849 0.000 0.000
0.000 3.913 0.000
-2.237 0.000 7.369
K Pu Hf S
2 1 1 4
Direct
0.000 0.000 0.000
0.500 0.500 0.000
0.000 0.500 0.500
0.500 0.000 0.500
0.255 0.000 0.701
0.286 0.500 0.304
0.714 0.500 0.696
0.745 0.000 0.299
```

No. 9
# K2PuHfSe4

A relaxed K2PuHfSe4 crystal (PBE-GGA, Alexandria via LeMat-Bulk).

Computed properties:
Formation energy without anion corrections in eV per atom: -1.377
Symmetry: P2/m

```
K2PuHfSe4
1.0
7.145 0.000 0.000
0.000 4.082 0.000
-2.329 0.000 7.694
K Pu Hf Se
2 1 1 4
Direct
0.000 0.000 0.000
0.500 0.500 0.000
0.000 0.500 0.500
0.500 0.000 0.500
0.256 0.000 0.705
0.285 0.500 0.301
0.715 0.500 0.699
0.744 0.000 0.295
```

No. 10
# K3Pu2HfSe6

A relaxed K3Pu2HfSe6 crystal (PBE-GGA, Alexandria via LeMat-Bulk).

Computed properties:
Formation energy without anion corrections in eV per atom: -1.423
Symmetry: C2/m

```
K3Pu2HfSe6
1.0
3.620 -6.271 0.000
3.620 6.271 0.000
-2.426 0.000 7.660
K Pu Hf Se
3 2 1 6
Direct
0.000 0.000 0.000
0.330 0.670 0.000
0.670 0.330 0.000
0.166 0.834 0.500
0.834 0.166 0.500
0.500 0.500 0.500
0.120 0.432 0.297
0.257 0.257 0.703
0.432 0.120 0.297
0.568 0.880 0.703
0.743 0.743 0.297
0.880 0.568 0.703
```

No. 11
# K3Pu3HfSe8

A relaxed K3Pu3HfSe8 crystal (PBE-GGA, Alexandria via LeMat-Bulk).

Computed properties:
Formation energy without anion corrections in eV per atom: -1.421
Symmetry: C2/m

```
K3Pu3HfSe8
1.0
7.260 -4.187 0.000
7.260 4.187 0.000
-4.821 0.000 7.785
K Pu Hf Se
3 3 1 8
Direct
0.000 0.000 0.000
0.000 0.500 0.000
0.500 0.000 0.000
0.000 0.500 0.500
0.500 0.000 0.500
0.500 0.500 0.500
0.000 0.000 0.500
0.221 0.221 0.694
0.221 0.754 0.695
0.246 0.779 0.305
0.264 0.264 0.293
0.736 0.736 0.707
0.754 0.221 0.695
0.779 0.246 0.305
0.779 0.779 0.306
```

No. 12
# K2PuHfTe4

A relaxed K2PuHfTe4 crystal (PBE-GGA, Alexandria via LeMat-Bulk).

Computed properties:
Formation energy without anion corrections in eV per atom: -1.004
Symmetry: P2/m

```
K2PuHfTe4
1.0
7.641 0.000 0.000
0.000 4.357 0.000
-2.478 0.000 8.272
K Pu Hf Te
2 1 1 4
Direct
0.000 0.000 0.000
0.500 0.500 0.000
0.000 0.500 0.500
0.500 0.000 0.500
0.256 0.000 0.709
0.284 0.500 0.299
0.716 0.500 0.701
0.744 0.000 0.291
```

No. 13
# K4Pu3HfTe8

A relaxed K4Pu3HfTe8 crystal (PBE-GGA, Alexandria via LeMat-Bulk).

Computed properties:
Formation energy without anion corrections in eV per atom: -1.069
Symmetry: R-3m

```
K4Pu3HfTe8
1.0
4.495 2.595 8.212
-4.495 2.595 8.212
0.000 -5.191 8.212
K Pu Hf Te
4 3 1 8
Direct
0.000 0.000 0.000
0.000 0.500 0.500
0.500 0.000 0.500
0.500 0.500 0.000
0.000 0.000 0.500
0.000 0.500 0.000
0.500 0.000 0.000
0.500 0.500 0.500
0.238 0.238 0.238
0.255 0.725 0.725
0.275 0.275 0.745
0.275 0.745 0.275
0.725 0.255 0.725
0.725 0.725 0.255
0.745 0.275 0.275
0.762 0.762 0.762
```

No. 14
# K2RbHf

A relaxed K2RbHf crystal (PBE-GGA, Alexandria via LeMat-Bulk).

Computed properties:
Symmetry: I-42d
ΔH_f (0 K) in eV per atom: 1.24

```
K2RbHf
1.0
-5.263 5.263 3.986
5.263 -5.263 3.986
5.263 5.263 -3.986
K Rb Hf
4 2 2
Direct
0.108 0.625 0.983
0.375 0.358 0.483
0.642 0.125 0.017
0.875 0.892 0.517
0.250 0.750 0.500
0.500 0.500 0.000
0.000 0.000 0.000
0.750 0.250 0.500
```

No. 15
# KRb2Hf

A relaxed KRb2Hf crystal (PBE-GGA, Alexandria via LeMat-Bulk).

Computed properties:
Symmetry: I-42d
ΔH_f (0 K) in eV per atom: 1.26

```
KRb2Hf
1.0
-5.383 5.383 4.026
5.383 -5.383 4.026
5.383 5.383 -4.026
K Rb Hf
2 4 2
Direct
0.000 0.000 0.000
0.750 0.250 0.500
0.137 0.625 0.012
0.375 0.387 0.512
0.613 0.125 0.988
0.875 0.863 0.488
0.250 0.750 0.500
0.500 0.500 0.000
```

No. 16
# KRb3Hf

A relaxed KRb3Hf crystal (PBE-GGA, Alexandria via LeMat-Bulk).

Computed properties:
Symmetry: Pm-3m
ΔH_f (0 K) in eV per atom: 1.02

```
KRb3Hf
1.0
7.283 0.000 0.000
0.000 7.283 0.000
0.000 0.000 7.283
K Rb Hf
1 3 1
Direct
0.000 0.000 0.000
0.000 0.500 0.500
0.500 0.000 0.500
0.500 0.500 0.000
0.500 0.500 0.500
```

No. 17
# K2RbHf

A relaxed K2RbHf crystal (PBE-GGA, Alexandria via LeMat-Bulk).

Computed properties:
Symmetry: Fm-3m
ΔH_f (0 K) in eV per atom: 1.13

```
K2RbHf
1.0
0.000 4.690 4.690
4.690 0.000 4.690
4.690 4.690 0.000
K Rb Hf
2 1 1
Direct
0.250 0.250 0.250
0.750 0.750 0.750
0.000 0.000 0.000
0.500 0.500 0.500
```

No. 18
# KRb3Hf

A relaxed KRb3Hf crystal (PBE-GGA, Alexandria via LeMat-Bulk).

Computed properties:
Symmetry: Pm-3m
ΔH_f (0 K) in eV per atom: 1.31

```
KRb3Hf
1.0
7.340 0.000 0.000
0.000 7.340 0.000
0.000 0.000 7.340
K Rb Hf
1 3 1
Direct
0.000 0.000 0.000
0.000 0.000 0.500
0.000 0.500 0.000
0.500 0.000 0.000
0.500 0.500 0.500
```

No. 19
# KRb2Hf

A relaxed KRb2Hf crystal (PBE-GGA, Alexandria via LeMat-Bulk).

Computed properties:
Symmetry: Fm-3m
ΔH_f (0 K) in eV per atom: 1.15

```
KRb2Hf
1.0
0.000 4.786 4.786
4.786 0.000 4.786
4.786 4.786 0.000
K Rb Hf
1 2 1
Direct
0.000 0.000 0.000
0.250 0.250 0.250
0.750 0.750 0.750
0.500 0.500 0.500
```

No. 20
# KRbHf3

A relaxed KRbHf3 crystal (PBE-GGA, Alexandria via LeMat-Bulk).

Computed properties:
Symmetry: Pm-3m
ΔH_f (0 K) in eV per atom: 2.33

```
KRbHf3
1.0
5.394 0.000 0.000
0.000 5.394 0.000
0.000 0.000 5.394
K Rb Hf
1 1 3
Direct
0.000 0.000 0.000
0.500 0.500 0.500
0.000 0.000 0.500
0.000 0.500 0.000
0.500 0.000 0.000
```

No. 21
# KRbHfRe2

A relaxed KRbHfRe2 crystal (PBE-GGA, Alexandria via LeMat-Bulk).

Computed properties:
Symmetry: P4/mmm
ΔH_f (0 K) in eV per atom: 3.40

```
KRbHfRe2
1.0
4.996 0.000 0.000
0.000 4.996 0.000
0.000 0.000 5.112
K Rb Hf Re
1 1 1 2
Direct
0.000 0.000 0.000
0.500 0.500 0.500
0.000 0.000 0.500
0.000 0.500 0.000
0.500 0.000 0.000
```

No. 22
# KRbHfSe3

A relaxed KRbHfSe3 crystal (PBE-GGA, Alexandria via LeMat-Bulk).

Computed properties:
Formation energy without anion corrections in eV per atom: -1.341
Symmetry: C2/c

```
KRbHfSe3
1.0
3.936 -7.795 0.000
3.936 7.795 0.000
-1.560 0.000 6.951
K Rb Hf Se
2 2 2 6
Direct
0.087 0.913 0.750
0.913 0.087 0.250
0.263 0.737 0.250
0.737 0.263 0.750
0.451 0.549 0.750
0.549 0.451 0.250
0.243 0.326 0.999
0.291 0.709 0.750
0.326 0.243 0.499
0.674 0.757 0.501
0.709 0.291 0.250
0.757 0.674 0.001
```

No. 23
# K2RbSrHf

A relaxed K2RbSrHf crystal (PBE-GGA, Alexandria via LeMat-Bulk).

Computed properties:
Symmetry: P4/mmm
ΔH_f (0 K) in eV per atom: 1.53

```
K2RbSrHf
1.0
7.343 0.000 0.000
0.000 7.343 0.000
0.000 0.000 7.544
K Rb Sr Hf
2 1 1 1
Direct
0.000 0.500 0.000
0.500 0.000 0.000
0.000 0.000 0.500
0.000 0.000 0.000
0.500 0.500 0.500
```

No. 24
# K2RbHfTi

A relaxed K2RbHfTi crystal (PBE-GGA, Alexandria via LeMat-Bulk).

Computed properties:
Symmetry: P4/mmm
ΔH_f (0 K) in eV per atom: 1.14

```
K2RbHfTi
1.0
7.085 0.000 0.000
0.000 7.085 0.000
0.000 0.000 4.951
K Rb Hf Ti
2 1 1 1
Direct
0.000 0.500 0.000
0.500 0.000 0.000
0.000 0.000 0.500
0.500 0.500 0.000
0.500 0.500 0.500
```

No. 25
# KHfRe2

A relaxed KHfRe2 crystal (PBE-GGA, Alexandria via LeMat-Bulk).

Computed properties:
Symmetry: Fm-3m
ΔH_f (0 K) in eV per atom: 1.54

```
KHfRe2
1.0
0.000 3.371 3.371
3.371 0.000 3.371
3.371 3.371 0.000
K Hf Re
1 1 2
Direct
0.000 0.000 0.000
0.500 0.500 0.500
0.250 0.250 0.250
0.750 0.750 0.750
```

no.,total magnetic moment (μB per formula unit),total energy (eV per atom)
1,0.00,-4.45
2,0.00,-5.62
3,0.77,-4.43
4,0.53,-3.90
5,0.00,-6.48
6,0.00,-5.40
7,16.00,-7.22
8,5.78,-6.90
9,5.79,-6.43
10,11.00,-6.66
11,4.99,-7.03
12,5.80,-5.88
13,16.00,-6.22
14,2.97,-2.04
15,3.00,-1.99
16,4.12,-1.77
17,3.15,-2.15
18,3.31,-1.48
19,2.97,-2.10
20,1.91,-4.05
21,2.25,-3.98
22,0.00,-5.09
23,3.59,-1.43
24,1.82,-3.06
25,0.00,-7.45